HfTlPtCl2: optimized geometry, GGA-PBE.

a b c (Å): 4.938 4.938 5.302
angles (deg): 90.00 90.00 90.00
Atoms (fractional coordinates):
Hf  0.000  0.000  0.000
Tl  0.500  0.500  0.000
Pt  0.000  0.000  0.500
Cl  0.000  0.500  0.500
Cl  0.500  0.000  0.500

Properties
Symmetry = No. 123
N(E_F) = 5.19 states/eV/cell
Total moment = 0.00 μB per formula unit
VASP energy = -4.271 eV/atom
Formation energy without anion corrections = 0.1401 eV/atom